# 1
LaMgCd3 | PBE | optimized geometry

Cell lengths 6.0649, 7.0573, 7.0552 Å; angles 120.01, 90.00, 90.00 degrees
Last column: nearest neighbours and their distance in Å.
Fractional positions:
Cd (0.7501, 0.1955, 0.3911)  2 Mg 2.83, 2 Cd 2.92
Cd (0.7500, 0.6090, 0.8047)  2 Mg 2.83, 2 Cd 2.92
Cd (0.2499, 0.8043, 0.1953)  2 Mg 2.83, 2 Cd 2.92
Cd (0.7501, 0.1956, 0.8046)  2 Mg 2.83, 2 Cd 2.92
Cd (0.2499, 0.3911, 0.1954)  2 Mg 2.83, 2 Cd 2.92
Cd (0.2500, 0.8045, 0.6090)  2 Mg 2.83, 2 Cd 2.92
La (0.2501, 0.3330, 0.6662)  12 Cd 3.47-3.55
La (0.7499, 0.6667, 0.3336)  12 Cd 3.47-3.55
Mg (0.5000, 0.0001, 0.0001)  6 Cd 2.83, 2 Mg 3.03
Mg (0.0000, 0.0001, 0.0001)  6 Cd 2.83, 2 Mg 3.03

Relative energy among the computed polymorphs   0 kJ/mol of formula units
ΔH_f (0 K)   -0.196 eV/atom
Magnetic moment   0.0 μB/f.u.
Volume   26.15 A^3/atom
Crystal system   hexagonal
Total DFT energy (no corrections)   -2.05 eV per atom

# 2
La2MgCdMo | PBE | optimized geometry

Cell lengths 5.9154, 5.1493, 5.9154 Å; angles 90.00, 90.00, 90.00 degrees
Last column: nearest neighbours and their distance in Å.
Fractional positions:
Cd (0.0000, 0.0000, 0.0000)  2 Mo 2.57
La (0.0000, 0.0000, 0.5000)  2 Cd 2.96
La (0.5000, 0.0000, 0.0000)  2 Cd 2.96
Mo (0.0000, 0.5000, 0.0000)  2 Cd 2.57
Mg (0.5000, 0.5000, 0.5000)  8 La 3.92, 4 Mo 4.18

ΔH_f (0 K)   0.943 eV/atom
Magnetic moment   2.0 μB/f.u.
Volume   36.04 A^3/atom
Crystal system   tetragonal
Total DFT energy (no corrections)   -3.70 eV per atom